Entry from the Alexandria database: an optimized crystal structure of BaPdW (PBE-GGA). Values from VASP.

- ΔE to the lowest computed polymorph: 0 meV/atom
- ΔH_f (0 K): 255 meV/atom
- Final energy: -38.6 eV for the cell shown

Quantum ESPRESSO input file:
```
&SYSTEM
  ibrav = 0, nat = 6, ntyp = 3
/
ATOMIC_SPECIES
Ba 137.33 Ba.upf
W 183.84 W.upf
Pd 106.42 Pd.upf
ATOMIC_POSITIONS angstrom
Ba -0.9780 2.2632 2.7816
Ba 1.2426 6.4574 1.0204
W -3.1093 10.0295 3.2280
W 1.2669 9.8519 0.6472
Pd 1.1963 0.1817 1.7100
Pd -0.9320 8.5390 2.0922
CELL_PARAMETERS angstrom
4.4012 -0.0343 -0.0397
-2.1075 11.1607 0.0735
-2.1618 0.4327 3.8096
```

=====

Entry from the Alexandria database: an optimized crystal structure of BaPdW (PBE-GGA). Values from VASP.

- ΔE to the lowest computed polymorph: 103 meV/atom
- ΔH_f (0 K): 358 meV/atom
- Final energy: -76.0 eV for the cell shown

Quantum ESPRESSO input file:
```
&SYSTEM
  ibrav = 0, nat = 12, ntyp = 3
/
ATOMIC_SPECIES
W 183.84 W.upf
Ba 137.33 Ba.upf
Pd 106.42 Pd.upf
ATOMIC_POSITIONS angstrom
W 3.5273 0.8740 0.3833
W 0.7899 2.6219 5.5721
W 7.8444 0.8740 4.8054
W 5.1071 2.6219 9.9942
Ba 3.7318 0.8740 7.0305
Ba 0.5853 2.6219 1.8418
Ba 8.0490 0.8740 8.5358
Ba 4.9025 2.6219 3.3470
Pd 6.5300 2.6219 6.3663
Pd 2.1043 0.8740 4.0112
Pd 6.4215 0.8740 1.1775
Pd 2.2128 2.6219 9.2000
CELL_PARAMETERS angstrom
8.6343 0.0000 0.0000
0.0000 3.4958 0.0000
0.0000 0.0000 10.3775
```

=====

Entry from the Alexandria database: an optimized crystal structure of BaPdW (PBE-GGA). Values from VASP.

- ΔE to the lowest computed polymorph: 45 meV/atom
- ΔH_f (0 K): 300 meV/atom
- Final energy: -76.7 eV for the cell shown

Quantum ESPRESSO input file:
```
&SYSTEM
  ibrav = 0, nat = 12, ntyp = 3
/
ATOMIC_SPECIES
Ba 137.33 Ba.upf
W 183.84 W.upf
Pd 106.42 Pd.upf
ATOMIC_POSITIONS angstrom
Ba -4.1057 3.2885 -0.9113
Ba -3.3638 8.4093 4.4492
Ba -5.3461 9.3612 1.5580
Ba -2.1233 2.3366 1.9798
W 0.0000 0.0000 0.0000
W -1.2411 6.0725 2.4716
W -3.7347 5.8489 1.7689
W -2.4936 -0.2236 -0.7027
Pd -1.8087 5.4685 -0.1333
Pd -3.0498 11.5411 2.3382
Pd -5.6607 6.2293 3.6712
Pd -4.4196 0.1567 1.1996
CELL_PARAMETERS angstrom
-1.2529 12.4430 0.4861
-4.9872 -0.4473 -1.4054
-1.2293 -0.2979 4.4572
```